Model a:
A plane-wave DFT calculation with PBE was carried out for a geometry-optimized NaPmBe structure.

Calculated values
**ρ**: 3.60 Mg/m³

The structure in extended XYZ format:
```
3
Lattice="0.000 3.443 3.443 3.443 0.000 3.443 3.443 3.443 0.000" Properties=species:S:1:pos:R:3 pbc="T T T"
Na 0.000 0.000 0.000
Pm 5.165 5.165 5.165
Be 3.443 3.443 3.443
```

---

Model b:
A plane-wave DFT calculation with PBE was carried out for a geometry-optimized NaPmBe structure.

Calculated values
**ρ**: 3.80 Mg/m³

The structure in extended XYZ format:
```
3
Lattice="0.000 3.383 3.383 3.383 0.000 3.383 3.383 3.383 0.000" Properties=species:S:1:pos:R:3 pbc="T T T"
Na 0.000 0.000 0.000
Pm 3.383 3.383 3.383
Be 1.691 1.691 1.691
```

---

The structure with the most favorable energy is model b; the runner-up is 0.413 eV/atom above it.

---

Model a:
A plane-wave DFT calculation with PBE was carried out for a geometry-optimized NaBePt structure.

Calculated values
**ρ**: 7.14 Mg/m³

The structure in extended XYZ format:
```
3
Lattice="0.000 2.978 2.978 2.978 0.000 2.978 2.978 2.978 0.000" Properties=species:S:1:pos:R:3 pbc="T T T"
Na 0.000 0.000 0.000
Be 4.466 4.466 4.466
Pt 1.489 1.489 1.489
```

---

Model b:
A plane-wave DFT calculation with PBE was carried out for a geometry-optimized NaBePt structure.

Calculated values
**ρ**: 7.99 Mg/m³

The structure in extended XYZ format:
```
3
Lattice="0.000 2.868 2.868 2.868 0.000 2.868 2.868 2.868 0.000" Properties=species:S:1:pos:R:3 pbc="T T T"
Na 0.000 0.000 0.000
Be 1.434 1.434 1.434
Pt 2.868 2.868 2.868
```

---

The structure with the most favorable energy is model b; the runner-up is 0.802 eV/atom above it.

---

Model a:
A plane-wave DFT calculation with PBE was carried out for a geometry-optimized NaTaBePt structure.

Calculated values
**ρ**: 10.91 Mg/m³

The structure in extended XYZ format:
```
4
Lattice="0.000 3.143 3.143 3.143 0.000 3.143 3.143 3.143 0.000" Properties=species:S:1:pos:R:3 pbc="T T T"
Na 0.000 0.000 0.000
Ta 3.143 3.143 3.143
Be 4.715 4.715 4.715
Pt 1.572 1.572 1.572
```

---

Model b:
A plane-wave DFT calculation with PBE was carried out for a geometry-optimized NaTaBePt structure.

Calculated values
**ρ**: 11.40 Mg/m³

The structure in extended XYZ format:
```
4
Lattice="0.000 3.098 3.098 3.098 0.000 3.098 3.098 3.098 0.000" Properties=species:S:1:pos:R:3 pbc="T T T"
Na 0.000 0.000 0.000
Ta 4.646 4.646 4.646
Be 1.549 1.549 1.549
Pt 3.098 3.098 3.098
```

---

The structure with the most favorable energy is model b; the runner-up is 0.128 eV/atom above it.

---

Model a:
A plane-wave DFT calculation with PBE was carried out for a geometry-optimized BeNbNi structure.

Calculated values
**ρ**: 5.88 Mg/m³

The structure in extended XYZ format:
```
3
Lattice="0.000 2.831 2.831 2.831 0.000 2.831 2.831 2.831 0.000" Properties=species:S:1:pos:R:3 pbc="T T T"
Be 0.000 0.000 0.000
Nb 4.247 4.247 4.247
Ni 2.831 2.831 2.831
```

---

Model b:
A plane-wave DFT calculation with PBE was carried out for a geometry-optimized BeNbNi structure.

Calculated values
**ρ**: 6.26 Mg/m³

The structure in extended XYZ format:
```
3
Lattice="0.000 2.773 2.773 2.773 0.000 2.773 2.773 2.773 0.000" Properties=species:S:1:pos:R:3 pbc="T T T"
Be 0.000 0.000 0.000
Nb 2.773 2.773 2.773
Ni 1.386 1.386 1.386
```

---

The structure with the most favorable energy is model b; the runner-up is 0.586 eV/atom above it.

---

Model a:
A plane-wave DFT calculation with PBE was carried out for a geometry-optimized BeNbNiSb structure.

Calculated values
**ρ**: 7.85 Mg/m³

The structure in extended XYZ format:
```
4
Lattice="0.000 3.103 3.103 3.103 0.000 3.103 3.103 3.103 0.000" Properties=species:S:1:pos:R:3 pbc="T T T"
Be 0.000 0.000 0.000
Nb 4.655 4.655 4.655
Ni 3.103 3.103 3.103
Sb 1.552 1.552 1.552
```

---

Model b:
A plane-wave DFT calculation with PBE was carried out for a geometry-optimized BeNbNiSb structure.

Calculated values
**ρ**: 7.71 Mg/m³

The structure in extended XYZ format:
```
4
Lattice="0.000 3.122 3.122 3.122 0.000 3.122 3.122 3.122 0.000" Properties=species:S:1:pos:R:3 pbc="T T T"
Be 0.000 0.000 0.000
Nb 1.561 1.561 1.561
Ni 4.683 4.683 4.683
Sb 3.122 3.122 3.122
```

---

The structure with the most favorable energy is model b; the runner-up is 0.069 eV/atom above it.

---

Model a:
A plane-wave DFT calculation with PBE was carried out for a geometry-optimized Be2Nb2O5 structure.

Calculated values
**ρ**: 5.89 Mg/m³

The structure in extended XYZ format:
```
9
Lattice="3.473 0.000 0.000 0.000 3.473 0.000 0.000 0.000 6.629" Properties=species:S:1:pos:R:3 pbc="T T T"
Be 0.000 0.000 1.616
Be 0.000 0.000 5.013
Nb 1.737 1.737 0.000
Nb 1.737 1.737 3.315
O 0.000 0.000 0.000
O 0.000 1.737 1.975
O 0.000 1.737 4.655
O 1.737 0.000 1.975
O 1.737 0.000 4.655
```

---

Model b:
A plane-wave DFT calculation with PBE was carried out for a geometry-optimized Be2Nb2O5 structure.

Calculated values
**ρ**: 4.83 Mg/m³

The structure in extended XYZ format:
```
9
Lattice="3.386 0.000 0.000 0.000 3.386 0.000 0.000 0.000 8.502" Properties=species:S:1:pos:R:3 pbc="T T T"
Be 0.000 0.000 0.000
Be 0.000 0.000 4.251
Nb 1.693 1.693 2.003
Nb 1.693 1.693 6.499
O 0.000 1.693 3.070
O 0.000 1.693 5.432
O 1.693 0.000 3.070
O 1.693 0.000 5.432
O 1.693 1.693 0.000
```

---

The structure with the most favorable energy is model a; the runner-up is 0.282 eV/atom above it.